PBE-GGA Dy3Th3Tl2Tc, relaxed; final energy = -5.911 eV per atom; formation energy from the elements = -0.226 eV/atom; symmetry = P-62m
1.0
8.7818 0.0000 0.0000
-4.3909 7.6052 0.0000
0.0000 0.0000 3.8481
Dy Th Tl Tc
3 3 2 1
Cartesian
-1.7402 3.0140 0.0000 Dy
3.4803 0.0000 0.0000 Dy
2.6507 4.5912 0.0000 Dy
-3.3205 5.7513 1.9240 Th
1.0704 1.8539 1.9240 Th
6.6410 0.0000 1.9240 Th
0.0000 5.0702 1.9240 Tl
4.3909 2.5351 1.9240 Tl
0.0000 0.0000 0.0000 Tc